# 1
First-principles (PBE) data for a relaxed CsCd2InGa crystal, as listed in Alexandria via LeMat-Bulk.

## Properties
Calculated total energy (eV per atom): -1.61

Lattice parameters (Å, degrees): 5.5516 5.5516 5.8609 90.00 90.00 90.00
Closest atoms and distances in Å follow each position.
Atoms (fractional coordinates):
Cs (0.0000, 0.0000, 0.0000)  4 In 3.93, 8 Cd 4.04
Cd (0.0000, 0.5000, 0.5000)  2 Ga 2.78
Cd (0.5000, 0.0000, 0.5000)  2 Ga 2.78
In (0.5000, 0.5000, 0.0000)  2 Ga 2.93
Ga (0.5000, 0.5000, 0.5000)  4 Cd 2.78, 2 In 2.93

***

# 2
First-principles (PBE) data for a relaxed BaCr2Ni crystal, as listed in Alexandria via LeMat-Bulk.

## Properties
ΔE to the lowest computed polymorph (eV per atom): 0.662
Calculated total energy (eV per atom): -5.62

Lattice parameters (Å, degrees): 6.9129 6.9129 6.9129 90.00 90.00 90.00
Closest atoms and distances in Å follow each position.
Atoms (fractional coordinates):
Ba (0.0000, 0.0000, 0.0000)  8 Cr 2.99
Ba (0.0000, 0.5000, 0.5000)  8 Cr 2.99
Ba (0.5000, 0.0000, 0.5000)  8 Cr 2.99
Ba (0.5000, 0.5000, 0.0000)  8 Cr 2.99
Cr (0.2500, 0.2500, 0.2500)  4 Ba 2.99, 4 Ni 2.99
Cr (0.2500, 0.2500, 0.7500)  4 Ba 2.99, 4 Ni 2.99
Cr (0.2500, 0.7500, 0.2500)  4 Ba 2.99, 4 Ni 2.99
Cr (0.2500, 0.7500, 0.7500)  4 Ba 2.99, 4 Ni 2.99
Cr (0.7500, 0.2500, 0.2500)  4 Ba 2.99, 4 Ni 2.99
Cr (0.7500, 0.2500, 0.7500)  4 Ba 2.99, 4 Ni 2.99
Cr (0.7500, 0.7500, 0.2500)  4 Ba 2.99, 4 Ni 2.99
Cr (0.7500, 0.7500, 0.7500)  4 Ni 2.99, 4 Ba 2.99
Ni (0.0000, 0.0000, 0.5000)  8 Cr 2.99
Ni (0.0000, 0.5000, 0.0000)  8 Cr 2.99
Ni (0.5000, 0.0000, 0.0000)  8 Cr 2.99
Ni (0.5000, 0.5000, 0.5000)  8 Cr 2.99

***

# 3
First-principles (PBE) data for a relaxed AcTbAgPb crystal, as listed in Alexandria via LeMat-Bulk.

## Properties
Calculated total energy (eV per atom): -4.18

Lattice parameters (Å, degrees): 7.8451 7.8451 7.8451 90.00 90.00 90.00
Closest atoms and distances in Å follow each position.
Atoms (fractional coordinates):
Ac (0.0000, 0.0000, 0.0000)  4 Pb 3.40, 4 Ag 3.40
Ac (0.0000, 0.5000, 0.5000)  4 Pb 3.40, 4 Ag 3.40
Ac (0.5000, 0.0000, 0.5000)  4 Pb 3.40, 4 Ag 3.40
Ac (0.5000, 0.5000, 0.0000)  4 Pb 3.40, 4 Ag 3.40
Tb (0.0000, 0.0000, 0.5000)  4 Pb 3.40, 4 Ag 3.40
Tb (0.0000, 0.5000, 0.0000)  4 Pb 3.40, 4 Ag 3.40
Tb (0.5000, 0.0000, 0.0000)  4 Pb 3.40, 4 Ag 3.40
Tb (0.5000, 0.5000, 0.5000)  4 Pb 3.40, 4 Ag 3.40
Ag (0.2500, 0.2500, 0.7500)  4 Ac 3.40, 4 Tb 3.40
Ag (0.2500, 0.7500, 0.2500)  4 Ac 3.40, 4 Tb 3.40
Ag (0.7500, 0.2500, 0.2500)  4 Ac 3.40, 4 Tb 3.40
Ag (0.7500, 0.7500, 0.7500)  4 Ac 3.40, 4 Tb 3.40
Pb (0.2500, 0.2500, 0.2500)  4 Ac 3.40, 4 Tb 3.40
Pb (0.2500, 0.7500, 0.7500)  4 Ac 3.40, 4 Tb 3.40
Pb (0.7500, 0.2500, 0.7500)  4 Ac 3.40, 4 Tb 3.40
Pb (0.7500, 0.7500, 0.2500)  4 Ac 3.40, 4 Tb 3.40

***

# 4
First-principles (PBE) data for a relaxed CeNpBi2 crystal, as listed in Alexandria via LeMat-Bulk.

## Properties
ΔE to the lowest computed polymorph (eV per atom): 0.428
Calculated total energy (eV per atom): -6.49

Lattice parameters (Å, degrees): 3.3628 3.3628 36.6468 90.00 90.00 120.00
Closest atoms and distances in Å follow each position.
Atoms (fractional coordinates):
Ce (0.0000, 0.0000, 0.0000)  2 Bi 3.30, 6 Ce 3.36
Ce (0.3333, 0.6667, 0.6667)  2 Bi 3.30, 6 Ce 3.36
Ce (0.6667, 0.3333, 0.3333)  2 Bi 3.30, 6 Ce 3.36
Np (0.0000, 0.0000, 0.5000)  6 Np 3.36, 6 Bi 3.41
Np (0.3333, 0.6667, 0.1667)  6 Np 3.36, 6 Bi 3.41
Np (0.6667, 0.3333, 0.8333)  6 Np 3.36, 6 Bi 3.41
Bi (0.0000, 0.0000, 0.0901)  1 Ce 3.30, 6 Bi 3.36, 3 Np 3.41
Bi (0.0000, 0.0000, 0.9099)  1 Ce 3.30, 6 Bi 3.36, 3 Np 3.41
Bi (0.3333, 0.6667, 0.5766)  1 Ce 3.30, 6 Bi 3.36, 3 Np 3.41
Bi (0.3333, 0.6667, 0.7567)  1 Ce 3.30, 6 Bi 3.36, 3 Np 3.41
Bi (0.6667, 0.3333, 0.2433)  1 Ce 3.30, 6 Bi 3.36, 3 Np 3.41
Bi (0.6667, 0.3333, 0.4234)  1 Ce 3.30, 6 Bi 3.36, 3 Np 3.41